Here is an optimized crystal structure of ScTcGe2 from Alexandria. Energies are from PBE.

a = 4.2107 Å, b = 4.2107 Å, c = 13.2671 Å
α = 90.00°, β = 90.00°, γ = 120.00°
Space group R-3m (No. 166, hexagonal axes)
One atom of each set of equivalent atoms:
Sc (0.0000, 0.0000, 0.0000) x3
Tc (0.0000, 0.0000, 0.5000) x3
Ge (0.0000, 0.0000, 0.2322) x6

Output
E above lowest polymorph, eV/atom: 0.175
ΔE_f, eV per atom: -0.407
E_tot, eV for the cell shown: -82.682

***

Here is an optimized crystal structure of ScTcGe from Alexandria. Energies are from PBE.

a = 3.881 Å, b = 3.881 Å, c = 6.991 Å
α = 90.00°, β = 90.00°, γ = 90.00°
Space group P4/nmm (No. 129, origin choice 2)
One atom of each set of equivalent atoms:
Sc (0.250, 0.250, 0.158) x2
Tc (0.250, 0.750, 0.500) x2
Ge (0.250, 0.250, 0.751) x2

Output
E above lowest polymorph, eV/atom: 0.099
ΔE_f, eV per atom: -0.514
E_tot, eV for the cell shown: -45.716

***

Here is an optimized crystal structure of ScTcGe3 from Alexandria. Energies are from PBE.

a = 5.410 Å, b = 11.404 Å, c = 5.888 Å
α = 90.00°, β = 90.00°, γ = 90.00°
Space group Cmcm (No. 63)
One atom of each set of equivalent atoms:
Sc (0.000, 0.086, 0.250) x4
Tc (0.000, 0.500, 0.000) x4
Ge (0.000, 0.322, 0.750) x4
Ge (0.239, 0.133, 0.750) x8

Output
E above lowest polymorph, eV/atom: 0.000
ΔE_f, eV per atom: -0.296
E_tot, eV for the cell shown: -128.127

***

Here is an optimized crystal structure of ScTcGe2 from Alexandria. Energies are from PBE.

a = 3.858 Å, b = 3.858 Å, c = 18.924 Å
α = 90.00°, β = 90.00°, γ = 90.00°
Space group I4/mmm (No. 139)
One atom of each set of equivalent atoms:
Sc (0.000, 0.000, 0.115) x4
Tc (0.000, 0.500, 0.250) x4
Ge (0.000, 0.000, 0.342) x4
Ge (0.000, 0.500, 0.000) x4

Output
E above lowest polymorph, eV/atom: 0.212
ΔE_f, eV per atom: -0.371
E_tot, eV for the cell shown: -109.659

***

Number 1 is which compound?
ScTcGe2